DFT (PBE) results for KInFe3 after structural relaxation.

Excess energy over the best structure of this formula in the dataset: 0.000 eV/atom
ΔE_f: 1371.9 meV per atom

Unit cell a=5.062 b=5.062 c=5.062 alpha=90.00 beta=90.00 gamma=90.00
Fractional positions:
K  0.000  0.000  0.000
In  0.500  0.500  0.500
Fe  0.000  0.500  0.500
Fe  0.500  0.000  0.500
Fe  0.500  0.500  0.000